# LiLaMn4O12

Crystalline LiLaMn4O12 at its relaxed geometry (PBE+U, Alexandria via LeMat-Bulk).

Summary:
The calculation puts the total energy at -119.0 eV for the cell shown. The calculation puts the density of states at the Fermi level at 0.521 states/eV/atom. Its total magnetic moment is 0.444 μB per atom. The theoretical density comes out at 4.5 g/cm3.

```
data_LiLaMn4O12
_symmetry_space_group_name_H-M 'P 1'
_symmetry_Int_Tables_number 1
_cell_length_a 5.157
_cell_length_b 5.157
_cell_length_c 7.718
_cell_angle_alpha 90.00
_cell_angle_beta 90.00
_cell_angle_gamma 92.30
loop_
_symmetry_equiv_pos_as_xyz
'x,y,z'
loop_
_atom_site_label
_atom_site_type_symbol
_atom_site_fract_x
_atom_site_fract_y
_atom_site_fract_z
O1 O 0.684 0.689 0.240
O2 O 0.684 0.689 0.760
O3 O 0.184 0.816 0.174
La1 La 0.522 0.478 0.500
O4 O 0.798 0.202 0.308
O5 O 0.311 0.316 0.240
O6 O 0.431 0.958 0.500
O7 O 0.042 0.569 0.500
O8 O 0.798 0.202 0.692
Mn1 Mn 0.999 0.499 0.769
Mn2 Mn 0.501 0.001 0.769
Li1 Li 0.991 0.009 0.000
Mn3 Mn 0.501 0.001 0.231
O9 O 0.951 0.388 0.000
Mn4 Mn 0.999 0.499 0.231
O10 O 0.612 0.049 0.000
O11 O 0.184 0.816 0.826
O12 O 0.311 0.316 0.760
```